Entry 1:
{
  "formula": "KCa2Te",
  "functional": "GGA-PBE",
  "state": "optimized geometry",
  "cell": [[7.0017, 0.0000, 0.0000], [0.0000, 12.9675, 0.0000], [0.0000, 0.0000, 4.2365]],
  "species": ["K", "K", "Ca", "Ca", "Ca", "Ca", "Te", "Te"],
  "frac_coords": [[0.0000, 0.0000, 0.0000], [0.5000, 0.5000, 0.0000], [0.0000, 0.3251, 0.5000], [0.0000, 0.6749, 0.5000], [0.5000, 0.1749, 0.5000], [0.5000, 0.8251, 0.5000], [0.0000, 0.5000, 0.0000], [0.5000, 0.0000, 0.0000]],
  "dos_ef_per_ev_atom": 0.54,
  "m_tot_mub_per_cell": 0.00,
  "energy_ev_per_atom": -2.636
}

Entry 2:
{
  "formula": "Ce4Tl3S8",
  "functional": "GGA-PBE",
  "state": "optimized geometry",
  "cell": [[5.9269, -6.0110, 0.0000], [5.9269, 6.0110, 0.0000], [-5.7013, 0.0000, 6.0340]],
  "species": ["Ce", "Ce", "Ce", "Ce", "Tl", "Tl", "Tl", "S", "S", "S", "S", "S", "S", "S", "S"],
  "frac_coords": [[0.0000, 0.0000, 0.0000], [0.0000, 0.0000, 0.5000], [0.0000, 0.5000, 0.0000], [0.5000, 0.0000, 0.0000], [0.0000, 0.5000, 0.5000], [0.5000, 0.0000, 0.5000], [0.5000, 0.5000, 0.5000], [0.2028, 0.2028, 0.4483], [0.2269, 0.2269, 0.9735], [0.2315, 0.7685, 0.0000], [0.2323, 0.7677, 0.5000], [0.7685, 0.2315, 0.0000], [0.7677, 0.2323, 0.5000], [0.7731, 0.7731, 0.0265], [0.7972, 0.7972, 0.5517]],
  "dos_ef_per_ev_atom": 1.64,
  "m_tot_mub_per_cell": 3.07,
  "energy_ev_per_atom": -5.617
}